Entry 1:
A relaxed structure of TlCuBRh2, computed with PBE-GGA.

a b c (Å): 4.1668 4.1668 4.1182
angles (deg): 90.00 90.00 90.00
Last column: nearest neighbours and their distance in Å.
Positions (direct):
B 0.0000 0.0000 0.0000  2 Cu 2.06, 4 Rh 2.08
Rh 0.5000 0.0000 0.0000  2 B 2.08
Rh 0.0000 0.5000 0.0000  2 B 2.08
Tl 0.5000 0.5000 0.5000  8 Rh 2.93, 4 Cu 2.95
Cu 0.0000 0.0000 0.5000  2 B 2.06

Computed properties:
- calculated total energy (eV per atom) = -5.64
- magnetic moment (μB/f.u.) = 0.0
- DOS(E_F) (states/eV/cell) = 1.7
- energy of formation from the pure elements (eV/atom) = -0.08

Entry 2:
A relaxed structure of YCu2BRh, computed with PBE-GGA.

a b c (Å): 4.1064 4.1064 4.3335
angles (deg): 90.00 90.00 90.00
Last column: nearest neighbours and their distance in Å.
Positions (direct):
Cu 0.0000 0.5000 0.0000  2 B 2.05
Cu 0.5000 0.0000 0.0000  2 B 2.05
Rh 0.0000 0.0000 0.5000  2 B 2.17
Y 0.5000 0.5000 0.5000  4 Rh 2.90, 8 Cu 2.99
B 0.0000 0.0000 0.0000  4 Cu 2.05, 2 Rh 2.17

Computed properties:
- calculated total energy (eV per atom) = -6.01
- magnetic moment (μB/f.u.) = 0.0
- DOS(E_F) (states/eV/cell) = 2.9
- energy of formation from the pure elements (eV/atom) = -0.28

Which value of DOS(E_F) does entry 2 give?
2.9 states/eV/cell